# Tb2SmTmIn2 (GGA-PBE, relaxed)
data_Tb2SmTmIn2
_cell_length_a 5.2081
_cell_length_b 6.7497
_cell_length_c 9.8544
_cell_angle_alpha 90.00
_cell_angle_beta 90.00
_cell_angle_gamma 90.00
_symmetry_space_group_name_H-M 'P 1'
_symmetry_Int_Tables_number 1
loop_
_symmetry_equiv_pos_as_xyz
'x,y,z'
loop_
_atom_site_label
_atom_site_type_symbol
_atom_site_fract_x
_atom_site_fract_y
_atom_site_fract_z
_atom_site_occupancy
Tb1 Tb 0.5000 0.0429 0.0407 1
Tb2 Tb 0.0000 0.3251 0.1797 1
Tb3 Tb 0.5000 0.5429 0.9593 1
Tb4 Tb 0.0000 0.8251 0.8203 1
Sm1 Sm 0.0000 0.9691 0.4616 1
Sm2 Sm 0.0000 0.4691 0.5384 1
Tm1 Tm 0.5000 0.1903 0.6850 1
Tm2 Tm 0.5000 0.6903 0.3150 1
In1 In 0.0000 0.2961 0.8569 1
In2 In 0.5000 0.2222 0.3599 1
In3 In 0.0000 0.7961 0.1431 1
In4 In 0.5000 0.7222 0.6401 1
# formation enthalpy at 0 K = -34.2 kJ per mole of atoms



# BaLiMg2Pb4 (GGA-PBE, relaxed)
data_BaLiMg2Pb4
_cell_length_a 5.2022
_cell_length_b 5.2022
_cell_length_c 10.4756
_cell_angle_alpha 75.62
_cell_angle_beta 75.62
_cell_angle_gamma 60.00
_symmetry_space_group_name_H-M 'P 1'
_symmetry_Int_Tables_number 1
loop_
_symmetry_equiv_pos_as_xyz
'x,y,z'
loop_
_atom_site_label
_atom_site_type_symbol
_atom_site_fract_x
_atom_site_fract_y
_atom_site_fract_z
_atom_site_occupancy
Ba1 Ba 0.0000 0.0000 0.0000 1
Li1 Li 0.5000 0.5000 0.5000 1
Mg1 Mg 0.7593 0.7593 0.7222 1
Mg2 Mg 0.2407 0.2407 0.2778 1
Pb1 Pb 0.3999 0.3999 0.8002 1
Pb2 Pb 0.8682 0.8682 0.3954 1
Pb3 Pb 0.1318 0.1318 0.6046 1
Pb4 Pb 0.6001 0.6001 0.1998 1
# formation enthalpy at 0 K = -24.0 kJ per mole of atoms



# Hg11I (GGA-PBE, relaxed)
data_Hg11I
_cell_length_a 9.6879
_cell_length_b 9.9842
_cell_length_c 9.9842
_cell_angle_alpha 76.39
_cell_angle_beta 60.98
_cell_angle_gamma 60.98
_symmetry_space_group_name_H-M 'P 1'
_symmetry_Int_Tables_number 1
loop_
_symmetry_equiv_pos_as_xyz
'x,y,z'
loop_
_atom_site_label
_atom_site_type_symbol
_atom_site_fract_x
_atom_site_fract_y
_atom_site_fract_z
_atom_site_occupancy
Hg1 Hg 0.3877 0.8084 0.4363 1
Hg2 Hg 0.6324 0.1916 0.5637 1
Hg3 Hg 0.0000 0.0000 0.0000 1
Hg4 Hg 0.7500 0.5000 0.5000 1
Hg5 Hg 0.3750 0.7500 0.7500 1
Hg6 Hg 0.8750 0.7500 0.2500 1
Hg7 Hg 0.8750 0.2500 0.7500 1
Hg8 Hg 0.8750 0.2500 0.2500 1
Hg9 Hg 0.3877 0.4363 0.8084 1
Hg10 Hg 0.9461 0.6916 0.9363 1
Hg11 Hg 0.5741 0.3084 0.0637 1
Hg12 Hg 0.6324 0.5637 0.1916 1
Hg13 Hg 0.8039 0.5637 0.8084 1
Hg14 Hg 0.1759 0.4363 0.1916 1
Hg15 Hg 0.1176 0.3084 0.9363 1
Hg16 Hg 0.3623 0.6916 0.0637 1
Hg17 Hg 0.3623 0.0637 0.6916 1
Hg18 Hg 0.8039 0.8084 0.5637 1
Hg19 Hg 0.1759 0.1916 0.4363 1
Hg20 Hg 0.1176 0.9363 0.3084 1
Hg21 Hg 0.9461 0.9363 0.6916 1
Hg22 Hg 0.5741 0.0637 0.3084 1
I1 I 0.5000 0.0000 0.0000 1
I2 I 0.2500 0.5000 0.5000 1
# energy relative to the elements, uncorrected = -0.45 kcal/mol of atoms



# CrGa2WCl (GGA-PBE, relaxed)
data_CrGa2WCl
_cell_length_a 4.9346
_cell_length_b 4.3847
_cell_length_c 4.9346
_cell_angle_alpha 90.00
_cell_angle_beta 90.00
_cell_angle_gamma 90.00
_symmetry_space_group_name_H-M 'P 1'
_symmetry_Int_Tables_number 1
loop_
_symmetry_equiv_pos_as_xyz
'x,y,z'
loop_
_atom_site_label
_atom_site_type_symbol
_atom_site_fract_x
_atom_site_fract_y
_atom_site_fract_z
_atom_site_occupancy
Cr1 Cr 0.5000 0.5000 0.5000 1
Ga1 Ga 0.0000 0.0000 0.5000 1
Ga2 Ga 0.5000 0.0000 0.0000 1
W1 W 0.0000 0.5000 0.0000 1
Cl1 Cl 0.0000 0.0000 0.0000 1
# energy relative to the elements, uncorrected = 30.79 kcal/mol of atoms



# K2TbInI6 (GGA-PBE, relaxed)
data_K2TbInI6
_cell_length_a 8.6546
_cell_length_b 8.6554
_cell_length_c 8.9878
_cell_angle_alpha 61.21
_cell_angle_beta 61.21
_cell_angle_gamma 59.99
_symmetry_space_group_name_H-M 'P 1'
_symmetry_Int_Tables_number 1
loop_
_symmetry_equiv_pos_as_xyz
'x,y,z'
loop_
_atom_site_label
_atom_site_type_symbol
_atom_site_fract_x
_atom_site_fract_y
_atom_site_fract_z
_atom_site_occupancy
K1 K 0.5291 0.5291 0.4127 1
K2 K 0.0185 0.0184 0.9447 1
Tb1 Tb 0.3248 0.3249 0.0255 1
In1 In 0.8173 0.8173 0.5482 1
I1 I 0.5630 0.2045 0.2518 1
I2 I 0.2045 0.9807 0.2518 1
I3 I 0.9808 0.5630 0.2518 1
I4 I 0.4365 0.6759 0.7762 1
I5 I 0.6758 0.1114 0.7763 1
I6 I 0.1114 0.4365 0.7763 1
# energy relative to the elements, uncorrected = -28.66 kcal/mol of atoms



# LaZn2SnPd5 (GGA-PBE, relaxed)
data_LaZn2SnPd5
_cell_length_a 4.7410
_cell_length_b 4.7410
_cell_length_c 7.5058
_cell_angle_alpha 90.00
_cell_angle_beta 90.00
_cell_angle_gamma 90.00
_symmetry_space_group_name_H-M 'P 1'
_symmetry_Int_Tables_number 1
loop_
_symmetry_equiv_pos_as_xyz
'x,y,z'
loop_
_atom_site_label
_atom_site_type_symbol
_atom_site_fract_x
_atom_site_fract_y
_atom_site_fract_z
_atom_site_occupancy
La1 La 0.0000 0.0000 0.5000 1
Zn1 Zn 0.5000 0.5000 0.1597 1
Zn2 Zn 0.5000 0.5000 0.8403 1
Sn1 Sn 0.0000 0.0000 0.0000 1
Pd1 Pd 0.0000 0.5000 0.2360 1
Pd2 Pd 0.5000 0.0000 0.2360 1
Pd3 Pd 0.0000 0.5000 0.7640 1
Pd4 Pd 0.5000 0.0000 0.7640 1
Pd5 Pd 0.5000 0.5000 0.5000 1
# formation enthalpy at 0 K = -42.0 kJ per mole of atoms